Record 1
PrAgPd | PBE | optimized geometry

a = 7.5592 Å, b = 7.5592 Å, c = 4.1333 Å
α = 90.00°, β = 90.00°, γ = 120.00°
Space group P-62m (No. 189)
Symmetry-distinct sites (fractional):
Pr  0.0000  0.5970  0.0000 x3
Ag  0.0000  0.2484  0.5000 x3
Pd  0.0000  0.0000  0.0000 x1
Pd  0.3333  0.6667  0.5000 x2

## Properties
E above lowest polymorph: 0.010 eV/atom
Crystal system: hexagonal
Size of the total moment: 0.000 μB per atom


Record 2
LaHoCuNi | PBE | optimized geometry

a = 7.020 Å, b = 7.020 Å, c = 7.020 Å
α = 90.00°, β = 90.00°, γ = 90.00°
Space group F-43m (No. 216)
Symmetry-distinct sites (fractional):
La  0.000  0.000  0.000 x4
Ho  0.000  0.000  0.500 x4
Cu  0.250  0.250  0.250 x4
Ni  0.250  0.250  0.750 x4

## Properties
E above lowest polymorph: 0.053 eV/atom
Crystal system: cubic
Size of the total moment: 0.000 μB per atom


> What is the size of the total moment in the first record?

0.000 μB per atom


> Which of these has the highest E above lowest polymorph?

LaHoCuNi